No. 1
A relaxed ErZr2Ga crystal, computed with PBE-GGA.

Cell lengths 4.449, 4.449, 4.438 Å; angles 90.00, 90.00, 90.00 degrees
Element x y z (fractional)
Er (0.000, 0.000, 0.000)
Zr (0.000, 0.500, 0.500)
Zr (0.500, 0.000, 0.500)
Ga (0.500, 0.500, 0.000)

Properties
Crystal system = tetragonal
Formation enthalpy at 0 K = -0.98 eV per formula unit
Polymorph energy (0 for the lowest one) = 6.0 kJ per mole of atoms

---

No. 2
A relaxed Cu2IrPb crystal, computed with PBE-GGA.

Cell lengths 4.934, 4.934, 3.949 Å; angles 113.43, 113.43, 46.57 degrees
Element x y z (fractional)
Cu (0.000, 0.000, 0.000)
Cu (0.748, 0.748, 0.247)
Ir (0.250, 0.250, 0.750)
Pb (0.498, 0.498, 0.498)

Properties
Crystal system = monoclinic
Formation enthalpy at 0 K = 1.05 eV per formula unit

---

No. 3
A relaxed Mn2PdC crystal, computed with PBE-GGA.

Cell lengths 6.694, 6.694, 6.694 Å; angles 24.63, 24.63, 24.63 degrees
Element x y z (fractional)
Mn (0.000, 0.000, 0.000)
Mn (0.223, 0.223, 0.223)
Pd (0.778, 0.778, 0.778)
C (0.612, 0.612, 0.612)

Properties
Crystal system = trigonal
Formation enthalpy at 0 K = -0.13 eV per formula unit

---

No. 4
A relaxed TaSe crystal, computed with PBE-GGA.

Cell lengths 6.450, 6.450, 6.450 Å; angles 39.62, 39.62, 39.62 degrees
Element x y z (fractional)
Ta (0.167, 0.167, 0.167)
Ta (0.833, 0.833, 0.833)
Se (0.410, 0.410, 0.410)
Se (0.590, 0.590, 0.590)

Properties
E_form (uncorrected) = 0.56 eV/atom
Crystal system = trigonal

---

No. 5
A relaxed GeI2F crystal, computed with PBE-GGA.

Cell lengths 5.123, 5.123, 5.123 Å; angles 60.00, 60.00, 60.00 degrees
Element x y z (fractional)
Ge (0.000, 0.000, 0.000)
I (0.250, 0.250, 0.250)
I (0.750, 0.750, 0.750)
F (0.500, 0.500, 0.500)

Properties
E_form (uncorrected) = -0.22 eV/atom
Crystal system = cubic
Polymorph energy (0 for the lowest one) = 5.1 kJ per mole of atoms

---

No. 6
A relaxed Zr2NbAg crystal, computed with PBE-GGA.

Cell lengths 3.451, 3.451, 6.893 Å; angles 90.00, 90.00, 90.00 degrees
Element x y z (fractional)
Zr (0.000, 0.000, 0.238)
Zr (0.000, 0.000, 0.762)
Nb (0.500, 0.500, 0.000)
Ag (0.500, 0.500, 0.500)

Properties
Crystal system = tetragonal
Formation enthalpy at 0 K = -0.14 eV per formula unit
Polymorph energy (0 for the lowest one) = 0.0 kJ per mole of atoms

---

No. 7
A relaxed TlIn2HgI8 crystal, computed with PBE-GGA.

Cell lengths 10.235, 10.235, 10.235 Å; angles 100.12, 100.12, 130.44 degrees
Element x y z (fractional)
Tl (0.000, 0.000, 0.000)
In (0.250, 0.750, 0.500)
In (0.500, 0.500, 0.000)
Hg (0.750, 0.250, 0.500)
I (0.047, 0.383, 0.336)
I (0.047, 0.711, 0.664)
I (0.143, 0.314, 0.829)
I (0.289, 0.953, 0.336)
I (0.485, 0.314, 0.171)
I (0.617, 0.953, 0.664)
I (0.686, 0.515, 0.829)
I (0.686, 0.857, 0.171)

Properties
E_form (uncorrected) = -0.42 eV/atom
Crystal system = tetragonal

---

No. 8
A relaxed YOs2Au crystal, computed with PBE-GGA.

Cell lengths 2.947, 2.947, 8.225 Å; angles 90.00, 90.00, 90.00 degrees
Element x y z (fractional)
Y (0.000, 0.000, 0.000)
Os (0.500, 0.500, 0.271)
Os (0.500, 0.500, 0.729)
Au (0.000, 0.000, 0.500)

Properties
Crystal system = tetragonal
Formation enthalpy at 0 K = 2.49 eV per formula unit
Polymorph energy (0 for the lowest one) = 53.4 kJ per mole of atoms

---

Q: Which formula does entry 8 have?
A: YOs2Au